w.
## LaScCS2 (GGA-PBE)

Data for an optimized crystal structure of LaScCS2.

Output
SG ... P4/mmm
Magnetic moment ... 0.00 Bohr magnetons per cell

Unit cell a=4.6960 b=4.4170 c=4.6960 alpha=90.00 beta=90.00 gamma=90.00
Last column: nearest neighbours and their distance in Å.
Sites, in units of the cell vectors:
La (0.0000, 0.5000, 0.0000)  2 C 2.21
S (0.0000, 0.0000, 0.5000)  2 C 2.35
S (0.5000, 0.0000, 0.0000)  2 C 2.35
Sc (0.5000, 0.5000, 0.5000)  8 S 3.22, 4 La 3.32
C (0.0000, 0.0000, 0.0000)  2 La 2.21, 4 S 2.35

x.
## LaScCS2 (GGA-PBE)

Data for an optimized crystal structure of LaScCS2.

Output
SG ... P4/mmm
Magnetic moment ... 0.72 Bohr magnetons per cell

Unit cell a=5.4237 b=4.3948 c=5.4237 alpha=90.00 beta=90.00 gamma=90.00
Last column: nearest neighbours and their distance in Å.
Sites, in units of the cell vectors:
La (0.0000, 0.0000, 0.0000)  2 C 2.20
C (0.0000, 0.5000, 0.0000)  2 La 2.20
Sc (0.5000, 0.5000, 0.5000)  8 S 3.49, 4 C 3.84
S (0.0000, 0.0000, 0.5000)  2 La 2.71
S (0.5000, 0.0000, 0.0000)  2 La 2.71

Most stable structure, least stable structure: w, x.

w.
## LaSbC3 (GGA-PBE)

Data for an optimized crystal structure of LaSbC3.

Output
SG ... Pm-3m
Magnetic moment ... 0.00 Bohr magnetons per cell

Unit cell a=4.2749 b=4.2749 c=4.2749 alpha=90.00 beta=90.00 gamma=90.00
Last column: nearest neighbours and their distance in Å.
Sites, in units of the cell vectors:
La (0.5000, 0.5000, 0.5000)  12 C 3.02
Sb (0.0000, 0.0000, 0.0000)  6 C 2.14
C (0.0000, 0.0000, 0.5000)  2 Sb 2.14
C (0.5000, 0.0000, 0.0000)  2 Sb 2.14
C (0.0000, 0.5000, 0.0000)  2 Sb 2.14

x.
## LaSbC3 (GGA-PBE)

Data for an optimized crystal structure of LaSbC3.

Output
SG ... Pm-3m
Magnetic moment ... 0.00 Bohr magnetons per cell

Unit cell a=4.5056 b=4.5056 c=4.5056 alpha=90.00 beta=90.00 gamma=90.00
Last column: nearest neighbours and their distance in Å.
Sites, in units of the cell vectors:
La (0.0000, 0.0000, 0.0000)  6 C 2.25
C (0.0000, 0.0000, 0.5000)  2 La 2.25
C (0.0000, 0.5000, 0.0000)  2 La 2.25
C (0.5000, 0.0000, 0.0000)  2 La 2.25
Sb (0.5000, 0.5000, 0.5000)  12 C 3.19

Most stable structure, least stable structure: w, x.

w.
## La6Sb2C (GGA-PBE)

Data for an optimized crystal structure of La6Sb2C.

Output
SG ... Fm-3m
Magnetic moment ... 2.10 Bohr magnetons per cell

Unit cell a=7.1825 b=7.1853 c=10.1689 alpha=90.00 beta=90.01 gamma=90.00
Last column: nearest neighbours and their distance in Å.
Sites, in units of the cell vectors:
La (0.7514, 0.7526, 0.5000)  1 C 2.52
La (0.0000, 0.0000, 0.2526)  1 C 2.52
La (0.0000, 0.0000, 0.7474)  1 C 2.52
La (0.7482, 0.7480, 0.0000)  1 C 2.52
La (0.2486, 0.2474, 0.5000)  1 C 2.52
La (0.2482, 0.7520, 0.5000)  1 C 2.52
La (0.5000, 0.5000, 0.2474)  1 C 2.52
La (0.7518, 0.2480, 0.5000)  1 C 2.52
La (0.7486, 0.2526, 0.0000)  1 C 2.52
La (0.2518, 0.2520, 0.0000)  1 C 2.52
La (0.5000, 0.5000, 0.7526)  1 C 2.52
La (0.2514, 0.7474, 0.0000)  1 C 2.52
Sb (0.0000, 0.5000, 0.7499)  12 La 3.59-3.60
Sb (0.5000, 0.0000, 0.2499)  12 La 3.59-3.60
Sb (0.0000, 0.5000, 0.2501)  12 La 3.59-3.60
Sb (0.5000, 0.0000, 0.7501)  12 La 3.59-3.60
C (0.5000, 0.5000, 0.0000)  6 La 2.52
C (0.0000, 0.0000, 0.5000)  6 La 2.52

x.
## La6Sb2C (GGA-PBE)

Data for an optimized crystal structure of La6Sb2C.

Output
SG ... P4_2/mnm
Magnetic moment ... 0.01 Bohr magnetons per cell

Unit cell a=7.1479 b=7.1479 c=12.9436 alpha=90.00 beta=90.00 gamma=90.00
Last column: nearest neighbours and their distance in Å.
Sites, in units of the cell vectors:
C (0.5000, 0.5000, 0.5000)  6 La 2.64
C (0.0000, 0.0000, 0.0000)  6 La 2.64
La (0.3113, 0.3113, 0.3594)  1 C 2.64
La (0.2609, 0.2609, 0.0000)  1 C 2.64
La (0.1887, 0.8113, 0.8594)  1 C 2.64
La (0.6887, 0.6887, 0.3594)  1 C 2.64
La (0.7609, 0.2391, 0.5000)  1 C 2.64
La (0.2391, 0.7609, 0.5000)  1 C 2.64
La (0.6887, 0.6887, 0.6406)  1 C 2.64
La (0.7391, 0.7391, 0.0000)  1 C 2.64
La (0.3113, 0.3113, 0.6406)  1 C 2.64
La (0.8113, 0.1887, 0.8594)  1 C 2.64
La (0.1887, 0.8113, 0.1406)  1 C 2.64
La (0.8113, 0.1887, 0.1406)  1 C 2.64
Sb (0.0000, 0.0000, 0.3353)  6 La 3.16-3.22
Sb (0.0000, 0.0000, 0.6647)  6 La 3.16-3.22
Sb (0.5000, 0.5000, 0.1647)  6 La 3.16-3.22
Sb (0.5000, 0.5000, 0.8353)  6 La 3.16-3.22

Most stable structure, least stable structure: w, x.

w.
## La4Sb2C (GGA-PBE)

Data for an optimized crystal structure of La4Sb2C.

Output
SG ... P2_1/m
Magnetic moment ... 0.00 Bohr magnetons per cell

Unit cell a=7.4656 b=6.7685 c=9.2671 alpha=90.00 beta=108.45 gamma=90.00
Last column: nearest neighbours and their distance in Å.
Sites, in units of the cell vectors:
La (0.0778, 0.7500, 0.3667)  1 C 2.43
La (0.0898, 0.7500, 0.9275)  1 C 2.38
La (0.5130, 0.9953, 0.7402)  1 C 2.35
La (0.5130, 0.5047, 0.7402)  1 C 2.35
La (0.9102, 0.2500, 0.0725)  1 C 2.38
La (0.4870, 0.4953, 0.2598)  1 C 2.35
La (0.9222, 0.2500, 0.6333)  1 C 2.43
La (0.4870, 0.0047, 0.2598)  1 C 2.35
Sb (0.7718, 0.7500, 0.5639)  8 La 3.34-3.56
Sb (0.2727, 0.2500, 0.9408)  6 La 3.20-3.43
Sb (0.2282, 0.2500, 0.4361)  8 La 3.34-3.56
Sb (0.7273, 0.7500, 0.0592)  6 La 3.20-3.43
C (0.7384, 0.2500, 0.8080)  4 La 2.35-2.43
C (0.2616, 0.7500, 0.1920)  4 La 2.35-2.43

x.
## La4Sb2C (GGA-PBE)

Data for an optimized crystal structure of La4Sb2C.

Output
SG ... I4/mmm
Magnetic moment ... 0.00 Bohr magnetons per cell

Unit cell a=5.1097 b=5.1097 c=9.0542 alpha=73.61 beta=73.61 gamma=90.00
Last column: nearest neighbours and their distance in Å.
Sites, in units of the cell vectors:
C (0.0000, 0.0000, 0.0000)  6 La 2.55-2.65
La (0.8403, 0.8403, 0.3194)  1 C 2.65
La (0.0000, 0.5000, 0.0000)  2 C 2.55
La (0.5000, 0.0000, 0.0000)  2 C 2.55
La (0.1597, 0.1597, 0.6806)  1 C 2.65
Sb (0.3603, 0.3603, 0.2794)  9 La 3.33-3.63
Sb (0.6397, 0.6397, 0.7206)  9 La 3.33-3.63

Most stable structure, least stable structure: x, w.

w.
## LaSnSbC2 (GGA-PBE)

Data for an optimized crystal structure of LaSnSbC2.

Output
SG ... P4/mmm
Magnetic moment ... 0.37 Bohr magnetons per cell

Unit cell a=4.5534 b=6.4183 c=4.5534 alpha=90.00 beta=90.00 gamma=90.00
Last column: nearest neighbours and their distance in Å.
Sites, in units of the cell vectors:
C (0.0000, 0.0000, 0.5000)  2 La 2.28
C (0.5000, 0.0000, 0.0000)  2 La 2.28
La (0.0000, 0.0000, 0.0000)  4 C 2.28
Sn (0.0000, 0.5000, 0.0000)  2 La 3.21, 4 Sb 3.22
Sb (0.5000, 0.5000, 0.5000)  4 Sn 3.22

x.
## LaSnSbC2 (GGA-PBE)

Data for an optimized crystal structure of LaSnSbC2.

Output
SG ... P4/mmm
Magnetic moment ... 0.00 Bohr magnetons per cell

Unit cell a=4.4830 b=5.7261 c=4.4830 alpha=90.00 beta=90.00 gamma=90.00
Last column: nearest neighbours and their distance in Å.
Sites, in units of the cell vectors:
Sb (0.0000, 0.5000, 0.0000)  2 Sn 2.86, 4 La 3.17
C (0.0000, 0.0000, 0.5000)  2 Sn 2.24
C (0.5000, 0.0000, 0.0000)  2 Sn 2.24
Sn (0.0000, 0.0000, 0.0000)  4 C 2.24
La (0.5000, 0.5000, 0.5000)  4 Sb 3.17

Most stable structure, least stable structure: x, w.

w.
## LaSbTe2C (GGA-PBE)

Data for an optimized crystal structure of LaSbTe2C.

Output
SG ... P4/mmm
Magnetic moment ... 0.60 Bohr magnetons per cell

Unit cell a=6.1326 b=6.1326 c=6.3130 alpha=90.00 beta=90.00 gamma=90.00
Last column: nearest neighbours and their distance in Å.
Sites, in units of the cell vectors:
La (0.0000, 0.0000, 0.0000)  4 Te 3.07, 2 Sb 3.16
C (0.5000, 0.5000, 0.5000)  4 Sb 4.34, 8 Te 4.40
Te (0.0000, 0.5000, 0.0000)  2 La 3.07
Te (0.5000, 0.0000, 0.0000)  2 La 3.07
Sb (0.0000, 0.0000, 0.5000)  2 La 3.16

x.
## LaSbTe2C (GGA-PBE)

Data for an optimized crystal structure of LaSbTe2C.

Output
SG ... P4/mmm
Magnetic moment ... 0.00 Bohr magnetons per cell

Unit cell a=4.9722 b=4.9722 c=4.8870 alpha=90.00 beta=90.00 gamma=90.00
Last column: nearest neighbours and their distance in Å.
Sites, in units of the cell vectors:
Te (0.5000, 0.0000, 0.0000)  2 C 2.49
Te (0.0000, 0.5000, 0.0000)  2 C 2.49
Sb (0.0000, 0.0000, 0.5000)  2 C 2.44
C (0.0000, 0.0000, 0.0000)  2 Sb 2.44, 4 Te 2.49
La (0.5000, 0.5000, 0.5000)  8 Te 3.49, 4 Sb 3.52

Most stable structure, least stable structure: x, w.

w.
## LaSb2TeC (GGA-PBE)

Data for an optimized crystal structure of LaSb2TeC.

Output
SG ... P4/mmm
Magnetic moment ... 0.00 Bohr magnetons per cell

Unit cell a=4.8140 b=4.8140 c=5.2372 alpha=90.00 beta=90.00 gamma=90.00
Last column: nearest neighbours and their distance in Å.
Sites, in units of the cell vectors:
Te (0.0000, 0.0000, 0.5000)  2 C 2.62
C (0.0000, 0.0000, 0.0000)  4 Sb 2.41, 2 Te 2.62
Sb (0.0000, 0.5000, 0.0000)  2 C 2.41
Sb (0.5000, 0.0000, 0.0000)  2 C 2.41
La (0.5000, 0.5000, 0.5000)  4 Te 3.40, 8 Sb 3.56

x.
## LaSb2TeC (GGA-PBE)

Data for an optimized crystal structure of LaSb2TeC.

Output
SG ... P4/mmm
Magnetic moment ... 1.34 Bohr magnetons per cell

Unit cell a=6.1865 b=6.1865 c=6.0582 alpha=90.00 beta=90.00 gamma=90.00
Last column: nearest neighbours and their distance in Å.
Sites, in units of the cell vectors:
La (0.0000, 0.0000, 0.0000)  2 Te 3.03, 4 Sb 3.09
Sb (0.0000, 0.5000, 0.0000)  2 La 3.09
Sb (0.5000, 0.0000, 0.0000)  2 La 3.09
C (0.5000, 0.5000, 0.5000)  8 Sb 4.33, 4 Te 4.37
Te (0.0000, 0.0000, 0.5000)  2 La 3.03

Most stable structure, least stable structure: w, x.

w.
## LaScC (GGA-PBE)

Data for an optimized crystal structure of LaScC.

Output
SG ... Pmmn
Magnetic moment ... 0.05 Bohr magnetons per cell

Unit cell a=3.5528 b=4.6187 c=8.5171 alpha=90.00 beta=90.00 gamma=90.00
Last column: nearest neighbours and their distance in Å.
Sites, in units of the cell vectors:
La (0.5000, 0.5000, 0.1823)  2 C 2.52
La (0.0000, 0.0000, 0.8177)  2 C 2.52
C (0.5000, 0.0000, 0.6077)  4 Sc 2.33-2.34, 2 La 2.52
C (0.0000, 0.5000, 0.3923)  4 Sc 2.33-2.34, 2 La 2.52
Sc (0.5000, 0.5000, 0.5711)  4 C 2.33-2.34
Sc (0.0000, 0.0000, 0.4289)  4 C 2.33-2.34

x.
## LaScC (GGA-PBE)

Data for an optimized crystal structure of LaScC.

Output
SG ... P3m1
Magnetic moment ... 0.00 Bohr magnetons per cell

Unit cell a=6.4137 b=3.5123 c=3.5123 alpha=120.00 beta=90.00 gamma=90.00
Last column: nearest neighbours and their distance in Å.
Sites, in units of the cell vectors:
La (0.5559, 0.6667, 0.3333)  3 C 2.59
C (0.3036, 0.3333, 0.6667)  3 Sc 2.28
Sc (0.1405, 0.0000, 0.0000)  3 C 2.28

Most stable structure, least stable structure: w, x.